Entry 1:
# Ti2Pd3Au3

A relaxed Ti2Pd3Au3 crystal (PBE, Alexandria).

Unit cell a=5.102 b=5.102 c=5.102 alpha=90.04 beta=90.04 gamma=89.96
Fractional positions:
Pd  0.252  0.748  0.500
Pd  0.748  0.500  0.748
Pd  0.500  0.252  0.252
Au  0.747  0.000  0.747
Au  0.000  0.253  0.253
Au  0.253  0.747  0.000
Ti  0.746  0.746  0.254
Ti  0.254  0.254  0.746

Summary:
Energy of formation, eV per atom: -0.43
E above lowest polymorph, eV per atom: 0.0000
Symmetry: R32


Entry 2:
# Pm8FeSb2

A relaxed Pm8FeSb2 crystal (PBE, Alexandria).

Unit cell a=5.419 b=6.785 c=9.817 alpha=112.26 beta=106.02 gamma=90.00
Fractional positions:
Pm  0.411  0.577  0.823
Pm  0.589  0.423  0.177
Pm  0.216  0.299  0.432
Pm  0.641  0.965  0.282
Pm  0.994  0.223  0.987
Pm  0.006  0.777  0.013
Pm  0.359  0.035  0.718
Pm  0.784  0.701  0.568
Sb  0.831  0.287  0.661
Sb  0.169  0.713  0.339
Fe  0.500  0.000  0.000

Summary:
Formation energy from raw total energies, meV/atom: -324
Symmetry: C2/m


Entry 3:
# TlHPt2Au

A relaxed TlHPt2Au crystal (PBE, Alexandria).

Unit cell a=4.119 b=4.119 c=4.421 alpha=90.00 beta=90.00 gamma=90.00
Fractional positions:
H  0.000  0.000  0.000
Au  0.000  0.000  0.500
Tl  0.500  0.500  0.500
Pt  0.000  0.500  0.000
Pt  0.500  0.000  0.000

Summary:
Symmetry: P4/mmm


Entry 4:
# MgAlBr

A relaxed MgAlBr crystal (PBE, Alexandria).

Unit cell a=6.461 b=6.461 c=6.461 alpha=148.72 beta=148.72 gamma=44.82
Fractional positions:
Al  0.030  0.030  0.000
Mg  0.667  0.667  0.000
Br  0.302  0.302  0.000

Summary:
Formation energy from raw total energies, meV/atom: -173
E above lowest polymorph, eV per atom: 0.0878
Symmetry: I4mm


Entry 5:
# Li5SmPd6

A relaxed Li5SmPd6 crystal (PBE, Alexandria).

Unit cell a=4.174 b=6.581 c=7.043 alpha=90.00 beta=90.00 gamma=71.51
Fractional positions:
Pd  0.171  0.658  0.268
Pd  0.171  0.658  0.732
Pd  0.500  0.000  0.722
Pd  0.829  0.342  0.732
Pd  0.829  0.342  0.268
Pd  0.500  0.000  0.278
Sm  0.000  0.000  0.000
Li  0.683  0.635  0.000
Li  0.000  0.000  0.500
Li  0.317  0.365  0.000
Li  0.332  0.335  0.500
Li  0.668  0.665  0.500

Summary:
Energy of formation, eV per atom: -0.51
Symmetry: Cmmm


Entry 6:
# Cs12Hg5Pt3

A relaxed Cs12Hg5Pt3 crystal (PBE, Alexandria).

Unit cell a=18.385 b=18.385 c=18.385 alpha=109.47 beta=109.47 gamma=109.47
Fractional positions:
Cs  0.612  0.743  0.672
Cs  0.672  0.243  0.612
Cs  0.060  0.888  0.130
Cs  0.257  0.388  0.828
Cs  0.630  0.070  0.243
Cs  0.112  0.940  0.370
Cs  0.370  0.930  0.757
Cs  0.870  0.612  0.940
Cs  0.388  0.130  0.560
Cs  0.888  0.060  0.630
Cs  0.388  0.257  0.328
Cs  0.940  0.828  0.570
Cs  0.757  0.328  0.888
Cs  0.672  0.430  0.560
Cs  0.328  0.570  0.440
Cs  0.430  0.757  0.870
Cs  0.612  0.870  0.440
Cs  0.172  0.112  0.743
Cs  0.757  0.430  0.370
Cs  0.560  0.930  0.672
Cs  0.172  0.060  0.930
Cs  0.630  0.560  0.888
Cs  0.130  0.388  0.060
Cs  0.888  0.828  0.757
Cs  0.743  0.612  0.172
Cs  0.243  0.672  0.112
Cs  0.743  0.130  0.070
Cs  0.440  0.070  0.328
Cs  0.560  0.630  0.388
Cs  0.570  0.243  0.130
Cs  0.370  0.440  0.112
Cs  0.130  0.743  0.570
Cs  0.828  0.940  0.070
Cs  0.112  0.172  0.243
Cs  0.060  0.172  0.430
Cs  0.257  0.870  0.930
Cs  0.070  0.630  0.743
Cs  0.328  0.757  0.388
Cs  0.828  0.888  0.257
Cs  0.430  0.672  0.060
Cs  0.940  0.112  0.870
Cs  0.870  0.257  0.430
Cs  0.930  0.560  0.172
Cs  0.570  0.328  0.940
Cs  0.243  0.570  0.630
Cs  0.930  0.370  0.257
Cs  0.070  0.440  0.828
Cs  0.440  0.370  0.612
Hg  0.375  0.250  0.125
Hg  0.000  0.000  0.000
Hg  0.250  0.875  0.125
Hg  0.125  0.375  0.250
Hg  0.500  0.500  0.000
Hg  0.000  0.000  0.500
Hg  0.750  0.125  0.875
Hg  0.000  0.500  0.000
Hg  0.500  0.000  0.500
Hg  0.375  0.125  0.750
Hg  0.625  0.750  0.875
Hg  0.000  0.500  0.500
Hg  0.500  0.000  0.000
Hg  0.875  0.250  0.625
Hg  0.125  0.750  0.375
Hg  0.875  0.625  0.750
Hg  0.500  0.500  0.500
Hg  0.750  0.625  0.375
Hg  0.250  0.375  0.625
Hg  0.625  0.875  0.250
Pt  0.875  0.125  0.250
Pt  0.750  0.375  0.125
Pt  0.750  0.875  0.625
Pt  0.125  0.250  0.875
Pt  0.375  0.625  0.250
Pt  0.875  0.750  0.125
Pt  0.125  0.875  0.750
Pt  0.625  0.375  0.750
Pt  0.250  0.125  0.375
Pt  0.375  0.750  0.625
Pt  0.625  0.250  0.375
Pt  0.250  0.625  0.875

Summary:
Energy of formation, eV per atom: 0.06
Symmetry: Ia-3d


no.,energy (eV/atom),total moment (μB per formula unit)
1,-5.58,0.000
2,-5.30,0.006
3,-4.09,0.000
4,-2.51,0.000
5,-4.30,0.000
6,-1.44,0.047